Density functional theory data (PBEsol) for ZnCr2P after structural relaxation.

calculated formation energy = 0.2158 eV per atom
distance to the lowest polymorph of the same formula = 0.269 eV/atom

Lattice parameters (Å, degrees): 5.750 5.750 5.750 90.00 90.00 90.00
Element x y z (fractional)
1 Zn 0.000 0.000 0.000
2 Zn 0.000 0.500 0.500
3 Zn 0.500 0.000 0.500
4 Zn 0.500 0.500 0.000
5 Cr 0.000 0.000 0.500
6 Cr 0.000 0.500 0.000
7 Cr 0.250 0.250 0.750
8 Cr 0.250 0.750 0.250
9 Cr 0.500 0.000 0.000
10 Cr 0.500 0.500 0.500
11 Cr 0.750 0.250 0.250
12 Cr 0.750 0.750 0.750
13 P 0.250 0.250 0.250
14 P 0.250 0.750 0.750
15 P 0.750 0.250 0.750
16 P 0.750 0.750 0.250

=====

Density functional theory data (PBEsol) for ZnCr2P after structural relaxation.

calculated formation energy = -0.0535 eV per atom
distance to the lowest polymorph of the same formula = 0.000 eV/atom

Lattice parameters (Å, degrees): 2.818 2.818 5.985 90.00 90.00 90.00
Element x y z (fractional)
1 Zn 0.000 0.000 0.000
2 Cr 0.500 0.500 0.291
3 Cr 0.500 0.500 0.709
4 P 0.000 0.000 0.500

=====

Density functional theory data (PBEsol) for ZnCr3P after structural relaxation.

calculated formation energy = 0.5658 eV per atom
distance to the lowest polymorph of the same formula = 0.000 eV/atom

Lattice parameters (Å, degrees): 4.249 4.249 4.249 90.00 90.00 90.00
Element x y z (fractional)
1 Zn 0.000 0.000 0.000
2 Cr 0.000 0.500 0.500
3 Cr 0.500 0.000 0.500
4 Cr 0.500 0.500 0.000
5 P 0.500 0.500 0.500

=====

Density functional theory data (PBEsol) for Zn2CrP after structural relaxation.

calculated formation energy = 0.1288 eV per atom

Lattice parameters (Å, degrees): 3.350 3.350 4.730 90.00 90.00 90.00
Element x y z (fractional)
1 Zn 0.000 0.000 0.248
2 Zn 0.000 0.000 0.752
3 Cr 0.500 0.500 0.000
4 P 0.500 0.500 0.500

=====

Density functional theory data (PBEsol) for ZrCrP2 after structural relaxation.

calculated formation energy = -0.8129 eV per atom
distance to the lowest polymorph of the same formula = 0.000 eV/atom

Lattice parameters (Å, degrees): 3.630 3.630 16.125 90.00 90.00 120.00
Element x y z (fractional)
1 Zr 0.000 0.000 0.000
2 Zr 0.333 0.667 0.667
3 Zr 0.667 0.333 0.333
4 Cr 0.000 0.000 0.500
5 Cr 0.333 0.667 0.167
6 Cr 0.667 0.333 0.833
7 P 0.000 0.000 0.237
8 P 0.000 0.000 0.763
9 P 0.333 0.667 0.430
10 P 0.333 0.667 0.904
11 P 0.667 0.333 0.096
12 P 0.667 0.333 0.570

=====

Density functional theory data (PBEsol) for ZrCrP after structural relaxation.

calculated formation energy = -0.9832 eV per atom

Lattice parameters (Å, degrees): 6.359 3.608 7.499 90.00 90.00 90.00
Element x y z (fractional)
1 Zr 0.031 0.250 0.174
2 Zr 0.469 0.750 0.674
3 Zr 0.531 0.250 0.326
4 Zr 0.969 0.750 0.826
5 Cr 0.137 0.250 0.558
6 Cr 0.363 0.750 0.058
7 Cr 0.637 0.250 0.942
8 Cr 0.863 0.750 0.442
9 P 0.229 0.750 0.369
10 P 0.271 0.250 0.869
11 P 0.729 0.750 0.131
12 P 0.771 0.250 0.631

=====

Values for volume, A^3/atom, ordered as above
11.882; 11.883; 15.339; 13.273; 15.330; 14.337